# NaAg2Au

A relaxed structure of NaAg2Au (PBE, Alexandria). Values from VASP.

```
&SYSTEM
  ibrav = 0, nat = 4, ntyp = 3
/
ATOMIC_SPECIES
Ag 107.87 Ag.upf
Na 22.99 Na.upf
Au 196.97 Au.upf
ATOMIC_POSITIONS crystal
Ag 0.250 0.250 0.250
Na 0.000 0.000 0.000
Ag 0.750 0.750 0.750
Au 0.500 0.500 0.500
CELL_PARAMETERS angstrom
0.000 3.366 3.366
3.366 0.000 3.366
3.366 3.366 0.000
```

Properties
**ΔE_f**: -0.0743 eV/atom
**Total energy**: -2.649 eV/atom
**DOS at the Fermi energy**: 1.1 states/eV per cell

# NaAg4Au4

A relaxed structure of NaAg4Au4 (PBE, Alexandria). Values from VASP.

```
&SYSTEM
  ibrav = 0, nat = 9, ntyp = 3
/
ATOMIC_SPECIES
Ag 107.87 Ag.upf
Au 196.97 Au.upf
Na 22.99 Na.upf
ATOMIC_POSITIONS crystal
Ag 0.669 0.662 0.000
Au 0.000 0.332 0.668
Ag 0.331 0.000 0.338
Na 0.000 0.000 0.000
Ag 0.331 0.338 0.000
Au 0.668 0.332 0.332
Au 0.000 0.668 0.332
Au 0.332 0.668 0.668
Ag 0.669 0.000 0.662
CELL_PARAMETERS angstrom
3.900 0.000 1.321
1.950 6.311 0.660
-0.074 0.000 6.638
```

Properties
**ΔE_f**: -0.0536 eV/atom
**Total energy**: -2.924 eV/atom
**DOS at the Fermi energy**: 2.9 states/eV per cell

# Na3AgAu

A relaxed structure of Na3AgAu (PBE, Alexandria). Values from VASP.

```
&SYSTEM
  ibrav = 0, nat = 10, ntyp = 3
/
ATOMIC_SPECIES
Na 22.99 Na.upf
Ag 107.87 Ag.upf
Au 196.97 Au.upf
ATOMIC_POSITIONS crystal
Na 0.543 0.764 0.244
Ag 0.542 0.542 0.900
Na 0.043 0.195 0.370
Au 0.043 0.730 0.441
Na 0.544 0.503 0.549
Au 0.043 0.305 0.768
Ag 0.043 0.501 0.103
Na 0.543 0.164 0.044
Na 0.543 0.029 0.632
Na 0.043 0.810 0.825
CELL_PARAMETERS angstrom
4.801 -0.003 0.001
0.004 6.203 -1.056
-0.002 -0.598 8.505
```

Properties
**ΔE_f**: -0.1162 eV/atom
**Total energy**: -2.133 eV/atom
**DOS at the Fermi energy**: 3.0 states/eV per cell

# Na3AgAu2

A relaxed structure of Na3AgAu2 (PBE, Alexandria). Values from VASP.

```
&SYSTEM
  ibrav = 0, nat = 12, ntyp = 3
/
ATOMIC_SPECIES
Au 196.97 Au.upf
Na 22.99 Na.upf
Ag 107.87 Ag.upf
ATOMIC_POSITIONS crystal
Au 0.373 0.103 0.746
Na 0.250 0.500 0.000
Na 0.182 0.917 0.364
Au 0.873 0.643 0.746
Na 0.682 0.447 0.364
Au 0.627 0.897 0.254
Na 0.750 0.500 0.000
Ag 0.750 0.000 0.000
Na 0.318 0.553 0.636
Na 0.818 0.083 0.636
Au 0.127 0.357 0.254
Ag 0.250 0.000 0.000
CELL_PARAMETERS angstrom
-3.577 4.112 -2.203
-4.743 -3.132 1.856
4.328 3.435 7.228
```

Properties
**ΔE_f**: -0.1828 eV/atom
**Total energy**: -2.410 eV/atom
**DOS at the Fermi energy**: 3.4 states/eV per cell

# Na7Ag2Au2

A relaxed structure of Na7Ag2Au2 (PBE, Alexandria). Values from VASP.

```
&SYSTEM
  ibrav = 0, nat = 11, ntyp = 3
/
ATOMIC_SPECIES
Na 22.99 Na.upf
Ag 107.87 Ag.upf
Au 196.97 Au.upf
ATOMIC_POSITIONS crystal
Na 0.112 0.491 0.816
Na 0.509 0.888 0.184
Ag 0.674 0.326 0.500
Na 0.836 0.836 0.568
Ag 0.326 0.674 0.500
Na 0.000 0.000 0.000
Na 0.164 0.164 0.432
Na 0.491 0.112 0.816
Au 0.622 0.622 0.829
Au 0.378 0.378 0.171
Na 0.888 0.509 0.184
CELL_PARAMETERS angstrom
-2.971 -5.182 -0.748
5.299 -2.628 1.115
-2.216 1.851 7.300
```

Properties
**ΔE_f**: -0.1286 eV/atom
**Total energy**: -2.082 eV/atom
**DOS at the Fermi energy**: 3.4 states/eV per cell

# Na2AgAu

A relaxed structure of Na2AgAu (PBE, Alexandria). Values from VASP.

```
&SYSTEM
  ibrav = 0, nat = 4, ntyp = 3
/
ATOMIC_SPECIES
Au 196.97 Au.upf
Na 22.99 Na.upf
Ag 107.87 Ag.upf
ATOMIC_POSITIONS crystal
Au 0.500 0.500 0.000
Na 0.000 0.000 0.240
Na 0.000 0.000 0.760
Ag 0.500 0.500 0.500
CELL_PARAMETERS angstrom
3.528 0.000 0.000
0.000 3.528 0.000
0.000 0.000 7.115
```

Properties
**ΔE_f**: -0.1212 eV/atom
**Total energy**: -2.313 eV/atom
**DOS at the Fermi energy**: 1.2 states/eV per cell

# Na4Ag2Au

A relaxed structure of Na4Ag2Au (PBE, Alexandria). Values from VASP.

```
&SYSTEM
  ibrav = 0, nat = 14, ntyp = 3
/
ATOMIC_SPECIES
Na 22.99 Na.upf
Au 196.97 Au.upf
Ag 107.87 Ag.upf
ATOMIC_POSITIONS crystal
Na 0.286 0.146 0.856
Au 0.166 0.782 0.072
Na 0.785 0.659 0.347
Ag 0.786 0.875 0.625
Ag 0.910 0.466 0.674
Na 0.785 0.091 0.903
Na 0.247 0.111 0.488
Na 0.743 0.619 0.993
Au 0.405 0.968 0.178
Na 0.324 0.638 0.762
Ag 0.286 0.375 0.125
Na 0.829 0.131 0.257
Ag 0.662 0.284 0.576
Na 0.285 0.604 0.395
CELL_PARAMETERS angstrom
5.727 -0.052 1.881
2.475 6.725 1.808
-0.038 0.136 9.063
```

Properties
**ΔE_f**: -0.1122 eV/atom
**Total energy**: -2.149 eV/atom
**DOS at the Fermi energy**: 2.7 states/eV per cell

# Na2AgAu

A relaxed structure of Na2AgAu (PBE, Alexandria). Values from VASP.

```
&SYSTEM
  ibrav = 0, nat = 8, ntyp = 3
/
ATOMIC_SPECIES
Ag 107.87 Ag.upf
Na 22.99 Na.upf
Au 196.97 Au.upf
ATOMIC_POSITIONS crystal
Ag 0.244 0.244 0.420
Na 0.882 0.882 0.828
Ag 0.756 0.756 0.580
Au 0.808 0.808 0.213
Na 0.500 0.500 0.000
Na 0.118 0.118 0.172
Na 0.500 0.500 0.500
Au 0.192 0.192 0.787
CELL_PARAMETERS angstrom
2.353 5.312 0.357
-2.353 5.312 0.357
0.000 4.204 7.925
```

Properties
**ΔE_f**: -0.1800 eV/atom
**Total energy**: -2.372 eV/atom
**DOS at the Fermi energy**: 2.0 states/eV per cell

# Na3AgAu

A relaxed structure of Na3AgAu (PBE, Alexandria). Values from VASP.

```
&SYSTEM
  ibrav = 0, nat = 5, ntyp = 3
/
ATOMIC_SPECIES
Ag 107.87 Ag.upf
Na 22.99 Na.upf
Au 196.97 Au.upf
ATOMIC_POSITIONS crystal
Ag 0.000 0.000 0.000
Na 0.500 0.000 0.000
Na 0.000 0.000 0.500
Na 0.000 0.500 0.000
Au 0.500 0.500 0.500
CELL_PARAMETERS angstrom
5.476 0.000 0.000
0.000 5.476 0.000
0.000 0.000 5.476
```

Properties
**ΔE_f**: 0.1905 eV/atom
**Total energy**: -1.827 eV/atom
**DOS at the Fermi energy**: 3.6 states/eV per cell

# NaAg2Au

A relaxed structure of NaAg2Au (PBE, Alexandria). Values from VASP.

```
&SYSTEM
  ibrav = 0, nat = 8, ntyp = 3
/
ATOMIC_SPECIES
Na 22.99 Na.upf
Ag 107.87 Ag.upf
Au 196.97 Au.upf
ATOMIC_POSITIONS crystal
Na 0.250 0.750 0.500
Ag 0.639 0.125 0.250
Ag 0.111 0.625 0.250
Ag 0.875 0.889 0.750
Ag 0.375 0.361 0.750
Na 0.500 0.500 0.000
Au 0.750 0.250 0.500
Au 0.000 0.000 0.000
CELL_PARAMETERS angstrom
-2.042 2.668 -2.291
0.920 -2.151 -3.326
-8.985 -5.174 -1.626
```

Properties
**ΔE_f**: 0.0536 eV/atom
**Total energy**: -2.521 eV/atom
**DOS at the Fermi energy**: 1.7 states/eV per cell

# NaAgAu3

A relaxed structure of NaAgAu3 (PBE, Alexandria). Values from VASP.

```
&SYSTEM
  ibrav = 0, nat = 5, ntyp = 3
/
ATOMIC_SPECIES
Ag 107.87 Ag.upf
Au 196.97 Au.upf
Na 22.99 Na.upf
ATOMIC_POSITIONS crystal
Ag 0.000 0.000 0.000
Au 0.500 0.000 0.000
Na 0.500 0.500 0.500
Au 0.000 0.000 0.500
Au 0.000 0.500 0.000
CELL_PARAMETERS angstrom
5.182 0.000 0.000
0.000 5.182 0.000
0.000 0.000 5.182
```

Properties
**ΔE_f**: 0.3011 eV/atom
**Total energy**: -2.499 eV/atom
**DOS at the Fermi energy**: 1.4 states/eV per cell

# Na9Ag4Au

A relaxed structure of Na9Ag4Au (PBE, Alexandria). Values from VASP.

```
&SYSTEM
  ibrav = 0, nat = 28, ntyp = 3
/
ATOMIC_SPECIES
Ag 107.87 Ag.upf
Au 196.97 Au.upf
Na 22.99 Na.upf
ATOMIC_POSITIONS crystal
Ag 0.000 0.000 0.000
Au 0.250 0.667 0.333
Na 0.750 0.928 0.464
Na 0.943 0.617 0.808
Ag 0.750 0.209 0.105
Ag 0.250 0.791 0.895
Na 0.557 0.617 0.808
Na 0.557 0.192 0.383
Na 0.443 0.808 0.617
Na 0.250 0.464 0.928
Ag 0.250 0.105 0.895
Na 0.750 0.536 0.072
Ag 0.750 0.895 0.791
Na 0.250 0.464 0.536
Ag 0.250 0.105 0.209
Na 0.057 0.808 0.617
Na 0.943 0.192 0.808
Na 0.750 0.536 0.464
Na 0.250 0.072 0.536
Ag 0.750 0.895 0.105
Na 0.057 0.383 0.192
Na 0.557 0.192 0.808
Au 0.750 0.333 0.667
Na 0.057 0.808 0.192
Na 0.443 0.383 0.192
Na 0.443 0.808 0.192
Ag 0.500 0.000 0.000
Na 0.943 0.192 0.383
CELL_PARAMETERS angstrom
-7.823 4.972 1.345
-5.135 -7.011 -3.949
1.624 0.010 9.407
```

Properties
**ΔE_f**: -0.0838 eV/atom
**Total energy**: -1.980 eV/atom
**DOS at the Fermi energy**: 11.0 states/eV per cell

# Na2AgAu

A relaxed structure of Na2AgAu (PBE, Alexandria). Values from VASP.

```
&SYSTEM
  ibrav = 0, nat = 4, ntyp = 3
/
ATOMIC_SPECIES
Na 22.99 Na.upf
Au 196.97 Au.upf
Ag 107.87 Ag.upf
ATOMIC_POSITIONS crystal
Na 0.091 0.091 0.728
Au 0.500 0.500 0.500
Ag 0.000 0.000 0.000
Na 0.909 0.909 0.272
CELL_PARAMETERS angstrom
-1.087 0.874 -2.741
1.587 -0.633 -2.557
-4.984 -9.170 -2.672
```

Properties
**ΔE_f**: 0.0319 eV/atom
**Total energy**: -2.160 eV/atom
**DOS at the Fermi energy**: 1.3 states/eV per cell

# Na6AgAu2

A relaxed structure of Na6AgAu2 (PBE, Alexandria). Values from VASP.

```
&SYSTEM
  ibrav = 0, nat = 18, ntyp = 3
/
ATOMIC_SPECIES
Na 22.99 Na.upf
Ag 107.87 Ag.upf
Au 196.97 Au.upf
ATOMIC_POSITIONS crystal
Na 0.096 0.286 0.809
Ag 0.000 0.500 0.500
Au 0.669 0.000 0.669
Na 0.697 0.029 0.332
Au 0.331 0.000 0.331
Au 0.500 0.627 0.127
Na 0.192 0.753 0.945
Na 0.303 0.971 0.668
Na 0.808 0.247 0.055
Na 0.303 0.635 0.332
Ag 0.000 0.000 0.000
Na 0.808 0.753 0.561
Na 0.477 0.286 0.191
Na 0.697 0.365 0.668
Na 0.904 0.714 0.191
Au 0.500 0.373 0.873
Na 0.523 0.714 0.809
Na 0.192 0.247 0.439
CELL_PARAMETERS angstrom
-3.759 -7.687 1.002
8.437 -0.855 -1.523
0.390 5.371 6.725
```

Properties
**ΔE_f**: -0.1730 eV/atom
**Total energy**: -2.097 eV/atom
**DOS at the Fermi energy**: 4.7 states/eV per cell

# Na2AgAu

A relaxed structure of Na2AgAu (PBE, Alexandria). Values from VASP.

```
&SYSTEM
  ibrav = 0, nat = 8, ntyp = 3
/
ATOMIC_SPECIES
Na 22.99 Na.upf
Au 196.97 Au.upf
Ag 107.87 Ag.upf
ATOMIC_POSITIONS crystal
Na 0.631 0.125 0.250
Au 0.000 0.000 0.000
Na 0.375 0.369 0.750
Au 0.750 0.250 0.500
Na 0.875 0.881 0.750
Ag 0.500 0.500 0.000
Na 0.119 0.625 0.250
Ag 0.250 0.750 0.500
CELL_PARAMETERS angstrom
-3.091 3.806 6.444
-6.969 -4.005 -0.977
-4.075 -2.171 4.415
```

Properties
**ΔE_f**: -0.0377 eV/atom
**Total energy**: -2.229 eV/atom
**DOS at the Fermi energy**: 2.0 states/eV per cell

# Na2AgAu3

A relaxed structure of Na2AgAu3 (PBE, Alexandria). Values from VASP.

```
&SYSTEM
  ibrav = 0, nat = 6, ntyp = 3
/
ATOMIC_SPECIES
Na 22.99 Na.upf
Au 196.97 Au.upf
Ag 107.87 Ag.upf
ATOMIC_POSITIONS crystal
Na 0.754 0.377 0.131
Au 0.500 0.500 0.500
Na 0.246 0.623 0.869
Au 0.500 0.000 0.500
Au 0.000 0.000 0.500
Ag 0.000 0.000 0.000
CELL_PARAMETERS angstrom
2.501 -2.873 -4.125
0.726 -1.614 5.328
-5.574 -0.285 0.592
```

Properties
**ΔE_f**: -0.3162 eV/atom
**Total energy**: -2.870 eV/atom
**DOS at the Fermi energy**: 1.0 states/eV per cell

# NaNdAgAu

A relaxed structure of NaNdAgAu (PBE, Alexandria). Values from VASP.

```
&SYSTEM
  ibrav = 0, nat = 4, ntyp = 4
/
ATOMIC_SPECIES
Au 196.97 Au.upf
Ag 107.87 Ag.upf
Nd 144.24 Nd.upf
Na 22.99 Na.upf
ATOMIC_POSITIONS crystal
Au 0.750 0.750 0.750
Ag 0.250 0.250 0.250
Nd 0.000 0.000 0.000
Na 0.500 0.500 0.500
CELL_PARAMETERS angstrom
5.135 0.000 0.000
2.567 4.447 0.000
2.567 1.482 4.192
```

Properties
**ΔE_f**: -0.3559 eV/atom
**Total energy**: -3.410 eV/atom
**DOS at the Fermi energy**: 3.2 states/eV per cell

# Na2AgAuO

A relaxed structure of Na2AgAuO (PBE, Alexandria). Values from VASP.

```
&SYSTEM
  ibrav = 0, nat = 5, ntyp = 4
/
ATOMIC_SPECIES
Au 196.97 Au.upf
Ag 107.87 Ag.upf
O 16.00 O.upf
Na 22.99 Na.upf
ATOMIC_POSITIONS crystal
Au 0.500 0.500 0.500
Ag 0.000 0.000 0.500
O 0.000 0.000 0.000
Na 0.000 0.500 0.000
Na 0.500 0.000 0.000
CELL_PARAMETERS angstrom
4.607 0.000 0.000
0.000 4.607 0.000
0.000 0.000 4.363
```

Properties
**Total energy**: -3.319 eV/atom
**DOS at the Fermi energy**: 0.3 states/eV per cell

# Na2AgAuO4

A relaxed structure of Na2AgAuO4 (PBE, Alexandria). Values from VASP.

```
&SYSTEM
  ibrav = 0, nat = 8, ntyp = 4
/
ATOMIC_SPECIES
O 16.00 O.upf
Na 22.99 Na.upf
Au 196.97 Au.upf
Ag 107.87 Ag.upf
ATOMIC_POSITIONS crystal
O 0.338 0.000 0.477
O 0.185 0.477 0.000
O 0.815 0.000 0.523
Na 0.500 0.500 0.500
O 0.662 0.523 0.000
Au 0.500 0.000 0.000
Ag 0.000 0.000 0.000
Na 0.000 0.500 0.500
CELL_PARAMETERS angstrom
6.922 0.000 0.000
3.461 4.186 0.000
3.461 0.000 4.186
```

Properties
**Total energy**: -3.927 eV/atom
**DOS at the Fermi energy**: 4.6 states/eV per cell

# NaAgAuO2

A relaxed structure of NaAgAuO2 (PBE, Alexandria). Values from VASP.

```
&SYSTEM
  ibrav = 0, nat = 10, ntyp = 4
/
ATOMIC_SPECIES
Au 196.97 Au.upf
Ag 107.87 Ag.upf
O 16.00 O.upf
Na 22.99 Na.upf
ATOMIC_POSITIONS crystal
Au 0.000 0.500 0.000
Ag 0.500 0.750 0.000
O 0.669 0.610 0.220
O 0.331 0.110 0.220
O 0.669 0.890 0.780
Au 0.000 0.000 0.000
O 0.331 0.390 0.780
Ag 0.500 0.250 0.000
Na 0.329 0.750 0.500
Na 0.671 0.250 0.500
CELL_PARAMETERS angstrom
-1.465 4.076 -1.729
1.370 -2.303 -6.589
-6.072 -0.948 2.909
```

Properties
**Total energy**: -3.818 eV/atom
**DOS at the Fermi energy**: 6.4 states/eV per cell

Let's list total magnetization in order: 0.0 0.0 0.0 0.0 0.0 0.0 0.0 0.0 0.0 0.0 0.0 0.0 0.0 0.0 0.0 0.0 0.0 0.0 0.0 1.4 Bohr magnetons per cell.